(1)
Pr2GaSn3Pd4 after structural relaxation, computed with PBE.

abc: 4.5423 4.5423 10.6825
angles: 90.00 90.00 90.00
With the nearest neighbours (Å) after each atom.
Fractional coordinates of all 10 atoms:
1 Pd 0.5000 0.5000 0.0000  4 Sn 2.67
2 Pr 0.5000 0.0000 0.2527  6 Sn 3.46-3.48, 8 Pd 3.47-3.53, 2 Ga 3.48
3 Ga 0.5000 0.5000 0.5000  4 Pd 2.63
4 Sn 0.0000 0.5000 0.1313  5 Pd 2.61-2.67
5 Pr 0.0000 0.5000 0.7473  6 Sn 3.46-3.48, 8 Pd 3.47-3.53, 2 Ga 3.48
6 Pd 0.5000 0.0000 0.6244  3 Sn 2.61-2.63, 2 Ga 2.63
7 Sn 0.0000 0.0000 0.5000  4 Pd 2.63
8 Pd 0.0000 0.5000 0.3756  3 Sn 2.61-2.63, 2 Ga 2.63
9 Pd 0.0000 0.0000 0.0000  4 Sn 2.67
10 Sn 0.5000 0.0000 0.8687  5 Pd 2.61-2.67

=====

(2)
PrGa2SnPd5 after structural relaxation, computed with PBE.

abc: 4.2823 4.2823 9.2371
angles: 90.00 90.00 90.00
With the nearest neighbours (Å) after each atom.
Fractional coordinates of all 9 atoms:
1 Sn 0.0000 0.0000 0.0000  8 Ga 3.27, 8 Pd 3.30
2 Pd 0.0000 0.5000 0.2725  2 Ga 2.49
3 Pd 0.5000 0.5000 0.5000  8 Pd 3.00, 4 Pr 3.03
4 Ga 0.5000 0.5000 0.1339  1 Ga 2.47, 4 Pd 2.49
5 Pr 0.0000 0.0000 0.5000  12 Pd 3.00-3.03
6 Ga 0.5000 0.5000 0.8661  1 Ga 2.47, 4 Pd 2.49
7 Pd 0.5000 0.0000 0.7275  2 Ga 2.49
8 Pd 0.5000 0.0000 0.2725  2 Ga 2.49
9 Pd 0.0000 0.5000 0.7275  2 Ga 2.49

=====

(3)
PrGaSnPd3 after structural relaxation, computed with PBE.

abc: 6.2851 6.4204 7.0060
angles: 117.27 90.00 90.00
With the nearest neighbours (Å) after each atom.
Fractional coordinates of all 12 atoms:
1 Ga 0.7500 0.0567 0.1134  5 Pd 2.48-2.60
2 Sn 0.2500 0.3628 0.7256  5 Pd 2.62-2.72
3 Pr 0.7500 0.3029 0.6059  1 Ga 3.07, 2 Sn 3.23, 6 Pd 3.24-3.26
4 Pd 0.5000 0.2785 0.0000  2 Ga 2.48, 2 Sn 2.72
5 Pd 0.0000 0.7215 0.0000  2 Ga 2.48, 2 Sn 2.72
6 Pd 0.0000 0.2785 0.0000  2 Ga 2.48, 2 Sn 2.72
7 Pd 0.2500 0.1524 0.3047  1 Ga 2.60, 1 Sn 2.62
8 Ga 0.2500 0.9433 0.8866  5 Pd 2.48-2.60
9 Sn 0.7500 0.6372 0.2744  5 Pd 2.62-2.72
10 Pd 0.5000 0.7215 0.0000  2 Ga 2.48, 2 Sn 2.72
11 Pr 0.2500 0.6971 0.3941  1 Ga 3.07, 2 Sn 3.23, 6 Pd 3.24-3.26
12 Pd 0.7500 0.8476 0.6953  1 Ga 2.60, 1 Sn 2.62

=====

(4)
Pr2Ga3SnPd4 after structural relaxation, computed with PBE.

abc: 4.3697 4.3697 10.6629
angles: 90.00 90.00 90.00
With the nearest neighbours (Å) after each atom.
Fractional coordinates of all 10 atoms:
1 Pr 0.5000 0.0000 0.2449  8 Pd 3.31-3.40, 6 Ga 3.35-3.49, 2 Sn 3.49
2 Pd 0.5000 0.5000 0.0000  4 Ga 2.55
3 Ga 0.5000 0.0000 0.8773  5 Pd 2.49-2.55
4 Pd 0.0000 0.5000 0.3561  3 Ga 2.49-2.67, 2 Sn 2.67
5 Pd 0.0000 0.0000 0.0000  4 Ga 2.55
6 Ga 0.0000 0.5000 0.1227  5 Pd 2.49-2.55
7 Ga 0.0000 0.0000 0.5000  4 Pd 2.67
8 Sn 0.5000 0.5000 0.5000  4 Pd 2.67
9 Pd 0.5000 0.0000 0.6439  3 Ga 2.49-2.67, 2 Sn 2.67
10 Pr 0.0000 0.5000 0.7551  8 Pd 3.31-3.40, 6 Ga 3.35-3.49, 2 Sn 3.49

=====

Number 1: DOS at the Fermi energy 0.623 states/eV/atom, ΔE_f -756 kJ/mol of formula units. Number 2: DOS at the Fermi energy 0.327 states/eV/atom, ΔE_f -459 kJ/mol of formula units. Number 3: DOS at the Fermi energy 0.539 states/eV/atom, ΔE_f -345 kJ/mol of formula units. Number 4: DOS at the Fermi energy 0.574 states/eV/atom, ΔE_f -765 kJ/mol of formula units.